(1)
## CsSm2CuTeS3 (PBE)

Data for a relaxed CsSm2CuTeS3 crystal.

E = -83.61 eV/cell
Calculated volume = 446.4 Å³/cell
Energy above the lowest structure with this stoichiometry = 0 meV per atom
Space-group type = Cmcm

```
16
Lattice="2.1053 -7.4421 0.0000 2.1053 7.4421 0.0000 0.0000 0.0000 14.2453" Properties=species:S:1:pos:R:3 pbc="T T T"
Cs 2.1053 6.0108 10.6840
Cs 2.1053 -6.0108 3.5613
Sm 2.1053 2.2051 8.0754
Sm 2.1053 2.2051 13.2925
Sm 2.1053 -2.2051 0.9528
Sm 2.1053 -2.2051 6.1699
Cu 2.1053 4.8537 3.5613
Cu 2.1053 -4.8537 10.6840
Te 0.0000 0.0000 0.0000
Te 0.0000 0.0000 7.1226
S 2.1053 3.5565 1.5684
S 2.1053 3.5565 5.5543
S 2.1053 1.3764 10.6840
S 2.1053 -1.3764 3.5613
S 2.1053 -3.5565 8.6910
S 2.1053 -3.5565 12.6769
```

***

(2)
## Y2GaIr (PBE)

Data for a relaxed Y2GaIr crystal.

E = -26.71 eV/cell
Calculated volume = 79.5 Å³/cell
Space-group type = F-43m

```
4
Lattice="0.0000 3.4122 3.4122 3.4122 0.0000 3.4122 3.4122 3.4122 0.0000" Properties=species:S:1:pos:R:3 pbc="T T T"
Y 0.0000 0.0000 0.0000
Y 1.7061 1.7061 1.7061
Ga 3.4122 3.4122 3.4122
Ir 5.1183 5.1183 5.1183
```

***

(3)
## Sc2Ta4Fe3C3 (PBE)

Data for a relaxed Sc2Ta4Fe3C3 crystal.

E = -234.65 eV/cell
Calculated volume = 335.3 Å³/cell
Space-group type = C2/c

```
24
Lattice="4.6665 -2.6942 0.0000 4.6665 2.6942 0.0000 -3.2072 0.0000 13.3340" Properties=species:S:1:pos:R:3 pbc="T T T"
Sc 2.2952 2.2478 8.2460
Sc 2.2269 2.2478 11.7551
Sc 3.8988 -2.2478 1.5790
Sc 3.8305 -2.2478 5.0881
Ta 2.2905 0.4389 1.1930
Ta 2.2966 0.4910 5.4738
Ta 0.6870 -0.4389 7.8600
Ta 0.6930 -0.4910 12.1408
Ta 5.4327 0.4910 1.1932
Ta 5.4388 0.4389 5.4740
Ta 3.8291 -0.4910 7.8602
Ta 3.8352 -0.4389 12.1410
Fe -0.1149 0.8603 10.0054
Fe 1.4887 -0.8603 3.3384
Fe 3.8647 0.4065 3.3335
Fe 2.2611 -0.4065 10.0005
Fe 4.6370 0.8603 9.9956
Fe 6.2406 -0.8603 3.3286
C 0.7296 1.3471 6.6670
C 3.8831 1.3393 0.0025
C 3.8463 1.3393 6.6646
C 2.3332 -1.3471 0.0000
C 2.2795 -1.3393 6.6695
C 2.2427 -1.3393 13.3316
```

***

(4)
## HfGaPb (PBE)

Data for a relaxed HfGaPb crystal.

E = -15.50 eV/cell
Calculated volume = 78.4 Å³/cell
Energy above the lowest structure with this stoichiometry = 82 meV per atom
Space-group type = F-43m

```
3
Lattice="0.0000 3.3971 3.3971 3.3971 0.0000 3.3971 3.3971 3.3971 0.0000" Properties=species:S:1:pos:R:3 pbc="T T T"
Hf 0.0000 0.0000 0.0000
Ga 1.6986 1.6986 1.6986
Pb 3.3971 3.3971 3.3971
```